First-principles (PBE-GGA) data for Ac3CdRe2N8 after structural relaxation, as listed in Alexandria.

Summary:
The calculation puts the energy relative to the elements, uncorrected at -59.9 kJ/mol of atoms. For the density of states at the Fermi level, the calculation gives 5.4 states/eV/cell. The value obtained for the total DFT energy (no corrections) is -8.10 eV per atom. The value obtained for the total magnetization is 0.000 μB per atom.

Geometry as CIF:
```
data_Ac3CdRe2N8
_chemical_formula_sum 'Ac3 Cd1 Re2 N8'
_cell_length_a 5.871
_cell_length_b 5.871
_cell_length_c 7.763
_cell_angle_alpha 90.00
_cell_angle_beta 90.00
_cell_angle_gamma 120.00
_symmetry_space_group_name_H-M 'P 1'
_symmetry_Int_Tables_number 1
loop_
_symmetry_equiv_pos_as_xyz
'x,y,z'
loop_
_atom_site_label
_atom_site_type_symbol
_atom_site_fract_x
_atom_site_fract_y
_atom_site_fract_z
Ac1 Ac 0.333 0.667 0.661
Ac2 Ac 0.667 0.333 0.339
Ac3 Ac 0.000 0.000 0.000
Cd1 Cd 0.000 0.000 0.500
Re1 Re 0.333 0.667 0.198
Re2 Re 0.667 0.333 0.802
N1 N 0.333 0.667 0.963
N2 N 0.667 0.333 0.037
N3 N 0.166 0.834 0.287
N4 N 0.834 0.166 0.713
N5 N 0.166 0.332 0.287
N6 N 0.834 0.668 0.713
N7 N 0.668 0.834 0.287
N8 N 0.332 0.166 0.713
```

---

First-principles (PBE-GGA) data for AcCd2ReN4 after structural relaxation, as listed in Alexandria.

Summary:
The calculation puts the energy relative to the elements, uncorrected at -14.6 kJ/mol of atoms. For the density of states at the Fermi level, the calculation gives 2.4 states/eV/cell. The value obtained for the total DFT energy (no corrections) is -6.61 eV per atom. The value obtained for the total magnetization is 0.000 μB per atom.

Geometry as CIF:
```
data_AcCd2ReN4
_chemical_formula_sum 'Ac1 Cd2 Re1 N4'
_cell_length_a 5.304
_cell_length_b 5.304
_cell_length_c 6.383
_cell_angle_alpha 114.55
_cell_angle_beta 114.55
_cell_angle_gamma 90.01
_symmetry_space_group_name_H-M 'P 1'
_symmetry_Int_Tables_number 1
loop_
_symmetry_equiv_pos_as_xyz
'x,y,z'
loop_
_atom_site_label
_atom_site_type_symbol
_atom_site_fract_x
_atom_site_fract_y
_atom_site_fract_z
Ac1 Ac 0.000 0.000 0.000
Cd1 Cd 0.750 0.250 0.500
Cd2 Cd 0.250 0.750 0.500
Re1 Re 0.500 0.500 0.000
N1 N 0.591 0.591 0.783
N2 N 0.409 0.808 0.217
N3 N 0.808 0.409 0.217
N4 N 0.192 0.192 0.783
```

---

First-principles (PBE-GGA) data for AcCdSbN after structural relaxation, as listed in Alexandria.

Summary:
The calculation puts the energy relative to the elements, uncorrected at -45.4 kJ/mol of atoms. For the density of states at the Fermi level, the calculation gives 1.0 states/eV/cell. The value obtained for the total DFT energy (no corrections) is -4.84 eV per atom. The value obtained for the total magnetization is 0.000 μB per atom.

Geometry as CIF:
```
data_AcCdSbN
_chemical_formula_sum 'Ac1 Cd1 Sb1 N1'
_cell_length_a 3.668
_cell_length_b 3.668
_cell_length_c 7.689
_cell_angle_alpha 103.80
_cell_angle_beta 103.80
_cell_angle_gamma 90.00
_symmetry_space_group_name_H-M 'P 1'
_symmetry_Int_Tables_number 1
loop_
_symmetry_equiv_pos_as_xyz
'x,y,z'
loop_
_atom_site_label
_atom_site_type_symbol
_atom_site_fract_x
_atom_site_fract_y
_atom_site_fract_z
Ac1 Ac 0.619 0.619 0.238
Cd1 Cd 0.312 0.312 0.623
Sb1 Sb 0.921 0.921 0.842
N1 N 0.160 0.160 0.321
```

---

First-principles (PBE-GGA) data for AcCd2SiN4 after structural relaxation, as listed in Alexandria.

Summary:
The calculation puts the energy relative to the elements, uncorrected at -33.2 kJ/mol of atoms. For the density of states at the Fermi level, the calculation gives 4.1 states/eV/cell. The value obtained for the total DFT energy (no corrections) is -5.93 eV per atom. The value obtained for the total magnetization is 0.000 μB per atom.

Geometry as CIF:
```
data_AcCd2SiN4
_chemical_formula_sum 'Ac1 Cd2 Si1 N4'
_cell_length_a 5.738
_cell_length_b 5.405
_cell_length_c 5.405
_cell_angle_alpha 82.69
_cell_angle_beta 57.94
_cell_angle_gamma 57.94
_symmetry_space_group_name_H-M 'P 1'
_symmetry_Int_Tables_number 1
loop_
_symmetry_equiv_pos_as_xyz
'x,y,z'
loop_
_atom_site_label
_atom_site_type_symbol
_atom_site_fract_x
_atom_site_fract_y
_atom_site_fract_z
Ac1 Ac 0.000 0.000 0.000
Cd1 Cd 0.500 0.750 0.250
Cd2 Cd 0.500 0.250 0.750
Si1 Si 0.000 0.500 0.500
N1 N 0.631 0.554 0.815
N2 N 0.369 0.185 0.446
N3 N 0.000 0.446 0.185
N4 N 0.000 0.815 0.554
```